No. 1
DFT (PBE) results for an optimized crystal structure of YTe2Pb2.

**Crystal system**: tetragonal
**Formation energy from raw total energies**: -471 meV/atom
**Magnetic moment**: 0.000 μB/f.u.
**Symmetry**: P4/mbm, No. 127
**ρ**: 7729 kg/m3

extended XYZ file:
```
10
Lattice="8.170 0.000 0.000 0.000 8.170 0.000 0.000 0.000 4.883" Properties=species:S:1:pos:R:3 pbc="T T T"
Pb 1.273 5.358 2.442
Pb 5.358 6.897 2.442
Pb 6.897 2.812 2.442
Pb 2.812 1.273 2.442
Y 0.000 0.000 0.000
Y 4.085 4.085 0.000
Te 2.737 6.821 0.000
Te 6.821 5.433 0.000
Te 5.433 1.348 0.000
Te 1.348 2.737 0.000
```


No. 2
DFT (PBE) results for an optimized crystal structure of Y5Te4Pb.

**Crystal system**: tetragonal
**Formation energy from raw total energies**: -1201 meV/atom
**Magnetic moment**: 0.000 μB/f.u.
**Symmetry**: I4/m, No. 87
**Distance to the lowest polymorph of the same formula**: 0.00 eV per formula unit
**ρ**: 6454 kg/m3

extended XYZ file:
```
10
Lattice="-1.503 -2.241 5.571 -0.468 -7.589 0.260 5.984 -1.479 4.459" Properties=species:S:1:pos:R:3 pbc="T T T"
Y 3.288 -6.211 8.712
Y 2.797 -7.676 4.551
Y 1.214 -3.638 5.748
Y 0.723 -5.103 1.587
Y -0.754 -1.125 2.795
Te 3.967 -5.116 5.897
Te 2.011 -8.724 7.356
Te 1.999 -2.589 2.943
Te 0.043 -6.198 4.403
Pb -0.002 -0.004 0.009
```


No. 3
DFT (PBE) results for an optimized crystal structure of Y2TePb.

**Crystal system**: orthorhombic
**Formation energy from raw total energies**: -712 meV/atom
**Magnetic moment**: 0.000 μB/f.u.
**Symmetry**: Imm2, No. 44
**Distance to the lowest polymorph of the same formula**: 1.11 eV per formula unit
**ρ**: 7373 kg/m3

extended XYZ file:
```
4
Lattice="-1.375 -6.184 2.018 -0.437 -5.199 -4.122 3.928 5.094 1.683" Properties=species:S:1:pos:R:3 pbc="T T T"
Pb -0.887 -5.576 -1.030
Te 1.322 -2.714 -1.711
Y -0.032 -0.203 -0.038
Y 0.808 -3.487 1.307
```


No. 4
DFT (PBE) results for an optimized crystal structure of Y2Te2Pb.

**Crystal system**: tetragonal
**Formation energy from raw total energies**: -925 meV/atom
**Magnetic moment**: 0.000 μB/f.u.
**Symmetry**: P4/mbm, No. 127
**Distance to the lowest polymorph of the same formula**: 0.00 eV per formula unit
**ρ**: 7290 kg/m3

extended XYZ file:
```
10
Lattice="-0.154 3.463 7.817 6.170 -5.366 2.499 2.760 2.652 -1.121" Properties=species:S:1:pos:R:3 pbc="T T T"
Pb 0.000 0.000 0.000
Pb 3.008 -0.952 5.158
Y 5.152 -3.337 4.793
Y 3.921 -0.602 8.234
Y 0.865 1.434 5.523
Y 2.095 -1.301 2.082
Te 5.325 -1.629 2.164
Te 6.570 -1.047 6.607
Te 3.451 2.378 7.031
Te 2.207 1.796 2.588
```


No. 5
DFT (PBE) results for an optimized crystal structure of Y2TePb.

**Crystal system**: monoclinic
**Formation energy from raw total energies**: -765 meV/atom
**Magnetic moment**: 0.000 μB/f.u.
**Symmetry**: C2/m, No. 12
**Distance to the lowest polymorph of the same formula**: 0.89 eV per formula unit
**ρ**: 7385 kg/m3

extended XYZ file:
```
4
Lattice="-7.589 1.551 0.742 2.531 -2.597 -4.285 -1.673 -3.352 0.296" Properties=species:S:1:pos:R:3 pbc="T T T"
Pb 0.429 -2.974 -1.994
Te -2.529 -0.523 -1.771
Y 0.000 0.000 0.000
Y -4.631 -0.900 0.519
```


No. 6
DFT (PBE) results for an optimized crystal structure of Y2TePb.

**Crystal system**: orthorhombic
**Formation energy from raw total energies**: -795 meV/atom
**Magnetic moment**: 0.000 μB/f.u.
**Symmetry**: Cmmm, No. 65
**Distance to the lowest polymorph of the same formula**: 0.77 eV per formula unit
**ρ**: 7535 kg/m3

extended XYZ file:
```
4
Lattice="3.734 0.034 0.000 -0.532 3.696 0.000 0.000 0.000 8.176" Properties=species:S:1:pos:R:3 pbc="T T T"
Pb 1.601 1.865 2.044
Te 1.601 1.865 6.132
Y 0.000 0.000 8.112
Y 0.000 0.000 4.153
```